Record 1
NdPd6Pb (PBE-GGA, optimized geometry); formation enthalpy at 0 K = -524.1 meV/atom; DFT total energy = -5.478 eV per atom
1.0
4.178 0.000 0.000
0.000 4.178 0.000
0.000 0.000 8.236
Nd Pd Pb
1 6 1
Cartesian
0.000 0.000 0.000
0.000 2.089 2.120
0.000 2.089 6.116
2.089 0.000 2.120
2.089 0.000 6.116
2.089 2.089 0.000
2.089 2.089 4.118
0.000 0.000 4.118

=====

Record 2
EuMgTlHg (PBE-GGA, optimized geometry); formation enthalpy at 0 K = -367.9 meV/atom; DFT total energy = -4.002 eV per atom
1.0
0.000 3.738 3.738
3.738 0.000 3.738
3.738 3.738 0.000
Eu Mg Tl Hg
1 1 1 1
Cartesian
0.000 0.000 0.000
3.738 3.738 3.738
5.608 5.608 5.608
1.869 1.869 1.869